(1)
This record from Alexandria describes a relaxed structure of ScIrRh. The functional is PBE.

Its calculated total energy is -7.522 eV/atom. The value obtained for the energy above the most stable polymorph in this dataset is 628 meV/atom. The value obtained for the spin magnetization is 0.00 Bohr magnetons per cell. The formation energy from the elements comes out at -0.008 eV/atom.

It has space group F-43m (No. 216), with a = 6.0435 Å, b = 6.0435 Å, c = 6.0435 Å, α = 90.00°, β = 90.00° and γ = 90.00°. Symmetry generates all atoms from Sc at (0.0000, 0.0000, 0.0000), Ir at (0.2500, 0.2500, 0.7500) and Rh at (0.2500, 0.2500, 0.2500).



(2)
This record from Alexandria describes a relaxed structure of Sc4IrRh2. The functional is PBE.

Its calculated total energy is -7.843 eV/atom. The value obtained for the spin magnetization is 0.00 Bohr magnetons per cell. The formation energy from the elements comes out at -0.858 eV/atom.

It has space group R-3m (No. 166, hexagonal axes), with a = 4.5346 Å, b = 4.5346 Å, c = 22.2633 Å, α = 90.00°, β = 90.00° and γ = 120.00°. Symmetry generates all atoms from Sc at (0.0000, 0.0000, 0.1227), Sc at (0.0000, 0.0000, 0.3739), Ir at (0.0000, 0.0000, 0.5000) and Rh at (0.0000, 0.0000, 0.2487).



(3)
This record from Alexandria describes a relaxed structure of ScIrRh. The functional is PBE.

Its calculated total energy is -7.942 eV/atom. The value obtained for the energy above the most stable polymorph in this dataset is 208 meV/atom. The value obtained for the spin magnetization is 0.00 Bohr magnetons per cell. The formation energy from the elements comes out at -0.428 eV/atom.

It has space group I4mm (No. 107), with a = 2.8538 Å, b = 2.8538 Å, c = 11.8208 Å, α = 90.00°, β = 90.00° and γ = 90.00°. Symmetry generates all atoms from Sc at (0.0000, 0.0000, 0.0000), Ir at (0.0000, 0.0000, 0.3314) and Rh at (0.0000, 0.0000, 0.6724).



(4)
This record from Alexandria describes a relaxed structure of ScIrRh. The functional is PBE.

Its calculated total energy is -7.960 eV/atom. The value obtained for the energy above the most stable polymorph in this dataset is 191 meV/atom. The value obtained for the spin magnetization is 0.00 Bohr magnetons per cell. The formation energy from the elements comes out at -0.445 eV/atom.

It has space group Imm2 (No. 44), with a = 2.8890 Å, b = 3.8481 Å, c = 8.6603 Å, α = 90.00°, β = 90.00° and γ = 90.00°. Symmetry generates all atoms from Sc at (0.0000, 0.0000, 0.0000), Ir at (0.0000, 0.0000, 0.6669) and Rh at (0.0000, 0.0000, 0.3296).



(5)
This record from Alexandria describes a relaxed structure of ScIrRh3. The functional is PBE.

Its calculated total energy is -6.653 eV/atom. The value obtained for the energy above the most stable polymorph in this dataset is 1187 meV/atom. The value obtained for the spin magnetization is 0.00 Bohr magnetons per cell. The formation energy from the elements comes out at 0.796 eV/atom.

It has space group Pm-3m (No. 221), with a = 4.7209 Å, b = 4.7209 Å, c = 4.7209 Å, α = 90.00°, β = 90.00° and γ = 90.00°. Symmetry generates all atoms from Sc at (0.0000, 0.0000, 0.0000), Ir at (0.5000, 0.5000, 0.5000) and Rh at (0.0000, 0.5000, 0.5000).



(6)
This record from Alexandria describes a relaxed structure of Sc6IrRh5. The functional is PBE.

Its calculated total energy is -7.998 eV/atom. The value obtained for the spin magnetization is 0.00 Bohr magnetons per cell. The formation energy from the elements comes out at -1.030 eV/atom.

It has space group Cmmm (No. 65), with a = 4.5744 Å, b = 13.7095 Å, c = 6.4424 Å, α = 90.00°, β = 90.00° and γ = 90.00°. Symmetry generates all atoms from Sc at (0.0000, 0.0000, 0.2495), Sc at (0.0000, 0.3336, 0.2499), Ir at (0.0000, 0.5000, 0.0000), Rh at (0.0000, 0.1672, 0.0000), Rh at (0.0000, 0.1668, 0.5000) and Rh at (0.0000, 0.5000, 0.5000).